The following is a PBE calculation of LiCaGdPd after structural relaxation, from Alexandria via LeMat-Bulk.

a = 7.199 Å, b = 7.199 Å, c = 7.199 Å
α = 90.00°, β = 90.00°, γ = 90.00°
Space group F-43m (No. 216)
Asymmetric unit:
Li  0.000  0.000  0.000 x4
Ca  0.250  0.250  0.750 x4
Gd  0.250  0.250  0.250 x4
Pd  0.000  0.000  0.500 x4

The value obtained for the density of states at the Fermi level is 1.137 states/eV/atom. The value obtained for the energy is -6.15 eV/atom. For the formation energy, the calculation gives -0.3494 eV per atom.